This record from the Alexandria database describes Ce2SnPb after structural relaxation. The functional is GGA-PBE.

Structure (POSCAR):
```
Ce2SnPb
1.0
1.715 0.990 11.016
-1.715 0.990 11.016
0.000 -1.980 11.016
Ce Sn Pb
2 1 1
Cartesian
0.000 0.000 8.206
0.000 0.000 24.843
0.000 0.000 16.524
0.000 0.000 0.000
```

Its space group is R-3m (166). Its energy is -20.82 eV for the cell shown. The value obtained for the excess energy over the best structure of this formula in the dataset is 183 meV per atom. For the energy of formation, the calculation gives -0.310 eV/atom.

This record from the Alexandria database describes RbBr3O after structural relaxation. The functional is GGA-PBE.

Structure (POSCAR):
```
RbBr3O
1.0
-3.425 3.425 5.796
3.425 -3.425 5.796
3.425 3.425 -5.796
Rb Br O
2 6 2
Cartesian
3.425 0.000 2.898
0.000 3.425 2.898
0.000 0.000 2.319
1.818 1.818 0.000
1.607 -1.607 5.796
-1.607 1.607 5.796
1.607 1.607 5.796
0.000 0.000 9.273
0.000 0.000 0.000
0.000 0.000 5.796
```

Its space group is I4/mmm (139). Its energy is -25.03 eV for the cell shown. The calculation puts the energy relative to the elements, uncorrected at -7.2 kcal/mol of atoms.

This record from the Alexandria database describes Sm4P2I5 after structural relaxation. The functional is GGA-PBE.

Structure (POSCAR):
```
Sm4P2I5
1.0
11.302 -2.046 0.000
11.302 2.046 0.000
-0.448 0.000 8.620
Sm P I
4 2 5
Cartesian
0.338 0.000 1.730
7.215 0.000 7.983
14.941 0.000 0.637
21.817 0.000 6.890
10.202 0.000 0.324
11.954 0.000 8.296
3.262 0.000 2.969
4.085 0.000 7.029
11.078 0.000 4.310
18.070 0.000 1.591
18.893 0.000 5.651
```

Its space group is C2/m (12). Its energy is -50.94 eV for the cell shown. The calculation puts the energy relative to the elements, uncorrected at -28.3 kcal/mol of atoms.

This record from the Alexandria database describes SrHoEr2 after structural relaxation. The functional is GGA-PBE.

Structure (POSCAR):
```
SrHoEr2
1.0
1.788 1.032 12.679
-1.788 1.032 12.679
0.000 -2.065 12.679
Sr Ho Er
1 1 2
Cartesian
0.000 0.000 0.000
0.000 0.000 19.018
0.000 0.000 3.553
0.000 0.000 34.484
```

Its space group is R-3m (166). Its energy is -14.44 eV for the cell shown. The value obtained for the excess energy over the best structure of this formula in the dataset is 101 meV per atom. For the energy of formation, the calculation gives 0.237 eV/atom.

This record from the Alexandria database describes CaPr2Zn2Ga2 after structural relaxation. The functional is GGA-PBE.

Structure (POSCAR):
```
CaPr2Zn2Ga2
1.0
2.268 1.309 9.738
-2.268 1.309 9.738
0.000 -2.618 9.738
Ca Pr Zn Ga
1 2 2 2
Cartesian
0.000 0.000 0.000
0.000 0.000 3.672
0.000 0.000 25.544
0.000 0.000 11.684
0.000 0.000 17.532
0.000 0.000 7.649
0.000 0.000 21.567
```

Its space group is R-3m (166). Its energy is -22.80 eV for the cell shown. For the energy of formation, the calculation gives -0.377 eV/atom.